The following is a PBE calculation of a relaxed GdPaP crystal, from Alexandria via LeMat-Bulk.

Results
formation enthalpy at 0 K = -1.93 eV per formula unit
calculated volume = 26.25 Å³ per atom
total energy = -10.31 eV per atom

Unit cell a=3.7467 b=3.7467 c=6.4766 alpha=90.00 beta=90.00 gamma=120.00
Space group P3m1 (No. 156)
Unique sites:
Gd  0.0000  0.0000  0.0000 (multiplicity 1)
Pa  0.6667  0.3333  0.4684 (multiplicity 1)
P  0.3333  0.6667  0.7325 (multiplicity 1)

The following is a PBE calculation of a relaxed CsSn2Rh crystal, from Alexandria via LeMat-Bulk.

Results
formation enthalpy at 0 K = -1.08 eV per formula unit
calculated volume = 32.28 Å³ per atom
total energy = -4.32 eV per atom

Unit cell a=4.4809 b=4.4809 c=22.2788 alpha=90.00 beta=90.00 gamma=120.00
Space group R-3m (No. 166, hexagonal axes)
Unique sites:
Cs  0.0000  0.0000  0.0000 (multiplicity 3)
Sn  0.0000  0.0000  0.2057 (multiplicity 6)
Rh  0.0000  0.0000  0.5000 (multiplicity 3)

The following is a PBE calculation of a relaxed SmZn3Ga2 crystal, from Alexandria via LeMat-Bulk.

Results
formation enthalpy at 0 K = -2.09 eV per formula unit
calculated volume = 18.50 Å³ per atom
total energy = -2.78 eV per atom

Unit cell a=15.482 b=4.205 c=7.583 alpha=90.00 beta=115.96 gamma=90.00
Space group C2/m (No. 12)
Unique sites:
Sm  0.146  0.000  0.073 (multiplicity 4)
Zn  0.037  0.000  0.375 (multiplicity 4)
Zn  0.107  0.500  0.707 (multiplicity 4)
Zn  0.188  0.500  0.460 (multiplicity 4)
Ga  0.021  0.500  0.175 (multiplicity 4)
Ga  0.201  0.000  0.713 (multiplicity 4)

The following is a PBE calculation of a relaxed MoRu2Rh2 crystal, from Alexandria via LeMat-Bulk.

Results
formation enthalpy at 0 K = 1.27 eV per formula unit
calculated volume = 14.92 Å³ per atom
polymorph energy (0 for the lowest one) = 0.00 kcal/mol of atoms
total energy = -8.56 eV per atom

Unit cell a=7.374 b=7.374 c=2.744 alpha=90.00 beta=90.00 gamma=90.00
Space group P4/mbm (No. 127)
Unique sites:
Mo  0.000  0.000  0.000 (multiplicity 2)
Ru  0.174  0.326  0.500 (multiplicity 4)
Rh  0.123  0.623  0.000 (multiplicity 4)

Number 1: size of the total moment 8.526 μB per formula unit. Number 2: size of the total moment 0.001 μB per formula unit. Number 3: size of the total moment 0.000 μB per formula unit. Number 4: size of the total moment 0.000 μB per formula unit.